# 1
First-principles (PBE) data for LiGdAlPd after structural relaxation, as listed in Alexandria via LeMat-Bulk.

The total magnetic moment comes out at 1.972 μB/atom. The calculation puts the density of states at the Fermi level at 3.63 states/eV/f.u. As for the total DFT energy (no corrections): -6.79 eV/atom. As for the energy of formation from the pure elements: -2.22 eV/f.u.

The structure belongs to space group F-43m (No. 216); the cell edges are 6.673, 6.673 and 6.673 Å and the angles 90.00°, 90.00° and 90.00°. Symmetry generates all atoms from Li at (0.000, 0.000, 0.000), Gd at (0.250, 0.250, 0.750), Al at (0.250, 0.250, 0.250) and Pd at (0.000, 0.000, 0.500).

# 2
First-principles (PBE) data for LiPmGdAl after structural relaxation, as listed in Alexandria via LeMat-Bulk.

The total magnetic moment comes out at 1.891 μB/atom. The calculation puts the density of states at the Fermi level at 3.67 states/eV/f.u. As for the total DFT energy (no corrections): -6.32 eV/atom. As for the energy of formation from the pure elements: -0.81 eV/f.u.

The structure belongs to space group F-43m (No. 216); the cell edges are 7.417, 7.417 and 7.417 Å and the angles 90.00°, 90.00° and 90.00°. Symmetry generates all atoms from Li at (0.000, 0.000, 0.000), Pm at (0.250, 0.250, 0.750), Gd at (0.250, 0.250, 0.250) and Al at (0.000, 0.000, 0.500).

# 3
First-principles (PBE) data for LiPrGdAl after structural relaxation, as listed in Alexandria via LeMat-Bulk.

The total magnetic moment comes out at 1.905 μB/atom. The calculation puts the density of states at the Fermi level at 3.50 states/eV/f.u. As for the total DFT energy (no corrections): -6.33 eV/atom. As for the energy of formation from the pure elements: -0.80 eV/f.u.

The structure belongs to space group F-43m (No. 216); the cell edges are 7.451, 7.451 and 7.451 Å and the angles 90.00°, 90.00° and 90.00°. Symmetry generates all atoms from Li at (0.000, 0.000, 0.000), Pr at (0.250, 0.250, 0.250), Gd at (0.250, 0.250, 0.750) and Al at (0.000, 0.000, 0.500).

# 4
First-principles (PBE) data for LiGdPuAl after structural relaxation, as listed in Alexandria via LeMat-Bulk.

The total magnetic moment comes out at 3.364 μB/atom. The calculation puts the density of states at the Fermi level at 6.53 states/eV/f.u. As for the total DFT energy (no corrections): -8.53 eV/atom. As for the energy of formation from the pure elements: -0.04 eV/f.u.

The structure belongs to space group F-43m (No. 216); the cell edges are 7.290, 7.290 and 7.290 Å and the angles 90.00°, 90.00° and 90.00°. Symmetry generates all atoms from Li at (0.000, 0.000, 0.000), Gd at (0.250, 0.250, 0.750), Pu at (0.250, 0.250, 0.250) and Al at (0.000, 0.000, 0.500).

# 5
First-principles (PBE) data for LiGdScAl after structural relaxation, as listed in Alexandria via LeMat-Bulk.

The total magnetic moment comes out at 1.893 μB/atom. The calculation puts the density of states at the Fermi level at 3.40 states/eV/f.u. As for the total DFT energy (no corrections): -6.72 eV/atom. As for the energy of formation from the pure elements: -0.83 eV/f.u.

The structure belongs to space group F-43m (No. 216); the cell edges are 7.107, 7.107 and 7.107 Å and the angles 90.00°, 90.00° and 90.00°. Symmetry generates all atoms from Li at (0.000, 0.000, 0.000), Gd at (0.250, 0.250, 0.750), Sc at (0.250, 0.250, 0.250) and Al at (0.000, 0.000, 0.500).

# 6
First-principles (PBE) data for LiSmGdAl after structural relaxation, as listed in Alexandria via LeMat-Bulk.

The total magnetic moment comes out at 1.891 μB/atom. The calculation puts the density of states at the Fermi level at 3.62 states/eV/f.u. As for the total DFT energy (no corrections): -6.32 eV/atom. As for the energy of formation from the pure elements: -0.81 eV/f.u.

The structure belongs to space group F-43m (No. 216); the cell edges are 7.399, 7.399 and 7.399 Å and the angles 90.00°, 90.00° and 90.00°. Symmetry generates all atoms from Li at (0.000, 0.000, 0.000), Sm at (0.250, 0.250, 0.750), Gd at (0.250, 0.250, 0.250) and Al at (0.000, 0.000, 0.500).

# 7
First-principles (PBE) data for LiGdAlSn after structural relaxation, as listed in Alexandria via LeMat-Bulk.

The total magnetic moment comes out at 1.744 μB/atom. The calculation puts the density of states at the Fermi level at 2.47 states/eV/f.u. As for the total DFT energy (no corrections): -6.26 eV/atom. As for the energy of formation from the pure elements: -1.30 eV/f.u.

The structure belongs to space group F-43m (No. 216); the cell edges are 7.148, 7.148 and 7.148 Å and the angles 90.00°, 90.00° and 90.00°. Symmetry generates all atoms from Li at (0.000, 0.000, 0.000), Gd at (0.000, 0.000, 0.500), Al at (0.250, 0.250, 0.250) and Sn at (0.250, 0.250, 0.750).

# 8
First-principles (PBE) data for LiGdThAl after structural relaxation, as listed in Alexandria via LeMat-Bulk.

The total magnetic moment comes out at 1.837 μB/atom. The calculation puts the density of states at the Fermi level at 3.35 states/eV/f.u. As for the total DFT energy (no corrections): -6.90 eV/atom. As for the energy of formation from the pure elements: -0.45 eV/f.u.

The structure belongs to space group F-43m (No. 216); the cell edges are 7.370, 7.370 and 7.370 Å and the angles 90.00°, 90.00° and 90.00°. Symmetry generates all atoms from Li at (0.000, 0.000, 0.000), Gd at (0.250, 0.250, 0.750), Th at (0.250, 0.250, 0.250) and Al at (0.000, 0.000, 0.500).